1.
## Re2BN (PBE)

Data for Re2BN after structural relaxation.

Cell and atoms, written as POSCAR:
```
Re2BN
1.0
4.603 0.000 0.000
0.000 4.603 0.000
2.302 2.302 4.854
N B Re
2 2 4
direct
0.750 0.250 0.500
0.000 0.000 0.000
0.500 0.500 0.000
0.250 0.750 0.500
0.107 0.625 0.250
0.643 0.125 0.250
0.375 0.357 0.750
0.875 0.893 0.750
```

Values from the calculation:
- crystal system = tetragonal
- ΔE to the lowest computed polymorph (meV/atom) = 0.0
- electronic total energy (eV/atom) = -9.424
- raw formation energy (eV/atom) = 0.5507

=====

2.
## ReB2N (PBE)

Data for ReB2N after structural relaxation.

Cell and atoms, written as POSCAR:
```
ReB2N
1.0
-0.542 4.090 2.480
-4.750 -0.752 0.203
-2.287 0.117 3.978
N B Re
2 4 2
direct
0.500 0.500 0.000
0.250 0.750 0.500
0.375 0.488 0.750
0.875 0.762 0.750
0.238 0.625 0.250
0.512 0.125 0.250
0.000 0.000 0.000
0.750 0.250 0.500
```

Values from the calculation:
- crystal system = tetragonal
- electronic total energy (eV/atom) = -8.134
- raw formation energy (eV/atom) = 0.3977

=====

3.
## ReB3N3 (PBE)

Data for ReB3N3 after structural relaxation.

Cell and atoms, written as POSCAR:
```
ReB3N3
1.0
-4.225 1.376 1.525
-0.478 -4.051 2.330
1.997 1.940 3.784
Re B N
2 6 6
direct
0.500 0.500 0.500
0.000 0.000 0.000
0.000 0.500 0.250
0.500 0.250 0.000
0.500 0.750 0.000
0.000 0.500 0.750
0.250 0.000 0.500
0.750 0.000 0.500
0.000 0.250 0.500
0.500 0.000 0.750
0.750 0.500 0.000
0.250 0.500 0.000
0.000 0.750 0.500
0.500 0.000 0.250
```

Values from the calculation:
- crystal system = cubic
- electronic total energy (eV/atom) = -7.268
- raw formation energy (eV/atom) = 0.9400

=====

4.
## ReB3N (PBE)

Data for ReB3N after structural relaxation.

Cell and atoms, written as POSCAR:
```
ReB3N
1.0
4.150 0.000 0.000
0.000 4.150 0.000
0.000 0.000 4.150
Re N B
1 1 3
direct
0.000 0.000 0.000
0.500 0.500 0.500
0.000 0.500 0.000
0.500 0.000 0.000
0.000 0.000 0.500
```

Values from the calculation:
- crystal system = cubic
- ΔE to the lowest computed polymorph (meV/atom) = 695.2
- electronic total energy (eV/atom) = -5.998
- raw formation energy (eV/atom) = 2.1636